No. 1
DFT (GGA-PBEsol) results for crystalline Li2BeZn at its relaxed geometry.

Cell: 2.5574 2.5574 26.7613 Å, 90.00 90.00 120.00°
Closest atoms and distances in Å follow each position.
Space group R-3m (No. 166, hexagonal axes)
Unique sites:
Li1 0.0000 0.0000 0.2465 x6  6 Li 2.56, 3 Be 2.60, 3 Zn 2.75
Be1 0.0000 0.0000 0.5000 x3  6 Be 2.56, 6 Li 2.60
Zn1 0.0000 0.0000 0.0000 x3  6 Zn 2.56, 6 Li 2.75

Results
**Polymorph energy (0 for the lowest one)**: 0.0813 eV/atom
**Density**: 2.90 g/cm3
**ΔH_f (0 K)**: 0.125 eV per atom
**Density of states at the Fermi level**: 3.77 states/eV/cell
**Calculated total energy**: -27.05 eV for the cell shown

No. 2
DFT (GGA-PBEsol) results for crystalline Li4ZrBe at its relaxed geometry.

Cell: 7.1172 7.1172 7.1172 Å, 90.00 90.00 90.00°
Closest atoms and distances in Å follow each position.
Space group F-43m (No. 216)
Unique sites:
Li1 0.1231 0.1231 0.3769 x16  6 Li 2.48-2.55
Zr1 0.0000 0.0000 0.0000 x4  12 Li 2.95, 4 Be 3.08
Be1 0.2500 0.2500 0.7500 x4  12 Li 2.95, 4 Zr 3.08

Results
**Density**: 2.36 g/cm3
**ΔH_f (0 K)**: 0.397 eV per atom
**Density of states at the Fermi level**: 9.04 states/eV/cell
**Calculated total energy**: -74.29 eV for the cell shown

No. 3
DFT (GGA-PBEsol) results for crystalline Li2ZrBe at its relaxed geometry.

Cell: 2.6789 4.6929 10.3751 Å, 90.00 90.00 90.00°
Closest atoms and distances in Å follow each position.
Space group Immm (No. 71)
Unique sites:
Li1 0.0000 0.0000 0.2080 x4  2 Be 2.54, 6 Li 2.68-2.84
Zr1 0.0000 0.5000 0.0000 x2  2 Zr 2.68, 4 Be 2.70
Be1 0.0000 0.5000 0.5000 x2  4 Li 2.54, 2 Be 2.68, 4 Zr 2.70

Results
**Density**: 2.91 g/cm3
**ΔH_f (0 K)**: 0.247 eV per atom
**Density of states at the Fermi level**: 6.42 states/eV/cell
**Calculated total energy**: -32.07 eV for the cell shown

No. 4
DFT (GGA-PBEsol) results for crystalline LiZrBe2 at its relaxed geometry.

Cell: 5.9572 5.9572 5.9572 Å, 90.00 90.00 90.00°
Closest atoms and distances in Å follow each position.
Space group Fm-3m (No. 225)
Unique sites:
Li1 0.0000 0.0000 0.0000 x4  8 Be 2.58
Zr1 0.0000 0.0000 0.5000 x4  8 Be 2.58
Be1 0.2500 0.2500 0.2500 x8  4 Zr 2.58, 4 Li 2.58

Results
**Density**: 3.65 g/cm3
**ΔH_f (0 K)**: 0.133 eV per atom
**Density of states at the Fermi level**: 6.59 states/eV/cell
**Calculated total energy**: -74.10 eV for the cell shown